1.
Material: CoIrSe2
Method: DFT, GGA-PBE
State: relaxed

Cell lengths 7.4872, 7.4872, 7.4872 Å; angles 28.64, 28.64, 28.64 degrees
With the nearest neighbours (Å) after each atom.
Element x y z (fractional)
Co 0.0000 0.0000 0.0000  2 Se 2.29
Ir 0.5000 0.5000 0.5000  6 Se 2.50
Se 0.1063 0.1063 0.1063  1 Co 2.29, 3 Ir 2.50
Se 0.8937 0.8937 0.8937  1 Co 2.29, 3 Ir 2.50

Calculated values
Raw formation energy = 0.205 eV/atom
Space group = R-3m (166)
Crystal system = trigonal

2.
Material: Na2Ac2Ag15
Method: DFT, GGA-PBE
State: relaxed

Cell lengths 7.4708, 7.4708, 7.4708 Å; angles 82.14, 82.14, 82.14 degrees
With the nearest neighbours (Å) after each atom.
Element x y z (fractional)
Na 0.0956 0.0956 0.0956  1 Na 2.79, 6 Ag 3.02-3.12
Na 0.9044 0.9044 0.9044  1 Na 2.79, 6 Ag 3.02-3.12
Ac 0.3496 0.3496 0.3496  15 Ag 3.43-3.80, 1 Na 3.71
Ac 0.6504 0.6504 0.6504  15 Ag 3.43-3.80, 1 Na 3.71
Ag 0.0000 0.0000 0.5000  8 Ag 2.86-2.87, 2 Na 3.02
Ag 0.0000 0.3055 0.6945  8 Ag 2.87-3.02
Ag 0.0000 0.5000 0.0000  8 Ag 2.86-2.87, 2 Na 3.02
Ag 0.0000 0.6945 0.3055  8 Ag 2.87-3.02
Ag 0.1589 0.6524 0.6524  8 Ag 2.82-3.02, 1 Na 3.12
Ag 0.3055 0.0000 0.6945  8 Ag 2.87-3.02
Ag 0.3055 0.6945 0.0000  8 Ag 2.87-3.02
Ag 0.3476 0.3476 0.8411  8 Ag 2.82-3.02, 1 Na 3.12
Ag 0.3476 0.8411 0.3476  8 Ag 2.82-3.02, 1 Na 3.12
Ag 0.5000 0.0000 0.0000  8 Ag 2.86-2.87, 2 Na 3.02
Ag 0.6524 0.1589 0.6524  8 Ag 2.82-3.02, 1 Na 3.12
Ag 0.6524 0.6524 0.1589  8 Ag 2.82-3.02, 1 Na 3.12
Ag 0.6945 0.0000 0.3055  8 Ag 2.87-3.02
Ag 0.6945 0.3055 0.0000  8 Ag 2.87-3.02
Ag 0.8411 0.3476 0.3476  8 Ag 2.82-3.02, 1 Na 3.12

Calculated values
Space group = R-3m (166)
Crystal system = trigonal

3.
Material: ZnPbSe2Br
Method: DFT, GGA-PBE
State: relaxed

Cell lengths 5.5005, 5.5005, 5.6744 Å; angles 90.00, 90.00, 90.00 degrees
With the nearest neighbours (Å) after each atom.
Element x y z (fractional)
Zn 0.0000 0.0000 0.0000  4 Br 3.89, 8 Se 3.95
Pb 0.5000 0.5000 0.5000  4 Se 2.75, 2 Br 2.84
Se 0.0000 0.5000 0.5000  2 Pb 2.75
Se 0.5000 0.0000 0.5000  2 Pb 2.75
Br 0.5000 0.5000 0.0000  2 Pb 2.84

Calculated values
Raw formation energy = 0.326 eV/atom
Space group = P4/mmm (123)
Crystal system = tetragonal

4.
Material: CsZn2SiIr
Method: DFT, GGA-PBE
State: relaxed

Cell lengths 5.0999, 5.0999, 4.5991 Å; angles 90.00, 90.00, 90.00 degrees
With the nearest neighbours (Å) after each atom.
Element x y z (fractional)
Cs 0.0000 0.0000 0.0000  8 Zn 3.43, 4 Si 3.61
Zn 0.0000 0.5000 0.5000  2 Ir 2.55
Zn 0.5000 0.0000 0.5000  2 Ir 2.55
Si 0.5000 0.5000 0.0000  2 Ir 2.30
Ir 0.5000 0.5000 0.5000  2 Si 2.30, 4 Zn 2.55

Calculated values
Raw formation energy = -0.156 eV/atom
Space group = P4/mmm (123)
Crystal system = tetragonal

It is found that the total energy values, taken in the order of the records, are -22.11; -55.88; -11.99; -18.46 eV/f.u..
It is found that the DOS at the Fermi energy values, taken in the order of the records, are 3.08; 9.95; 5.11; 0.51 states/eV/cell.
It is found that the theoretical density values, taken in the order of the records, are 8.0; 8.7; 4.9; 6.7 g/cm3.